VASP calculation (PBE-GGA) on crystalline Tl6GaPd12 at its relaxed geometry.

Cell lengths 11.9250, 11.9250, 8.7482 Å; angles 90.00, 90.00, 120.00 degrees
Space group R-3 (No. 148, hexagonal axes)
Asymmetric unit:
Tl1 0.0507 0.2147 0.2337
Ga1 0.0000 0.0000 0.5000
Pd1 0.0527 0.2279 0.5830
Pd2 0.0580 0.2420 0.9199

Results
Energy of formation from the pure elements: -3.4 eV per formula unit
Total energy: -4.365 eV/atom
Crystal system: trigonal

***

VASP calculation (PBE-GGA) on crystalline LiAc2Al4Au3 at its relaxed geometry.

Cell lengths 4.547, 4.547, 10.677 Å; angles 90.00, 90.00, 90.00 degrees
Space group P-4m2 (No. 115)
Asymmetric unit:
Li1 0.000 0.000 0.000
Ac1 0.000 0.500 0.752
Al1 0.000 0.000 0.500
Al2 0.000 0.500 0.129
Al3 0.500 0.500 0.500
Au1 0.000 0.500 0.372
Au2 0.500 0.500 0.000

Results
Energy of formation from the pure elements: -6.2 eV per formula unit
Total energy: -4.117 eV/atom
Crystal system: tetragonal

***

VASP calculation (PBE-GGA) on crystalline LiCe2Zn2Pd5 at its relaxed geometry.

Cell lengths 9.837, 9.837, 3.790 Å; angles 90.00, 90.00, 90.00 degrees
Space group P4/mbm (No. 127)
Asymmetric unit:
Li1 0.000 0.000 0.000
Ce1 0.179 0.321 0.000
Zn1 0.119 0.619 0.000
Pd1 0.000 0.500 0.500
Pd2 0.066 0.796 0.500

Results
Energy of formation from the pure elements: -5.2 eV per formula unit
Total energy: -4.746 eV/atom
Crystal system: tetragonal

***

VASP calculation (PBE-GGA) on crystalline ScTc2Sb2 at its relaxed geometry.

Cell lengths 4.772, 4.772, 9.371 Å; angles 90.00, 90.00, 90.00 degrees
Space group I4/mmm (No. 139)
Asymmetric unit:
Sc1 0.000 0.000 0.000
Tc1 0.000 0.000 0.379
Sb1 0.000 0.500 0.250

Results
Total energy: -7.041 eV/atom
Excess energy over the best structure of this formula in the dataset: 73 meV per atom
Crystal system: tetragonal

***

VASP calculation (PBE-GGA) on crystalline Sb2PRh at its relaxed geometry.

Cell lengths 3.295, 3.295, 7.168 Å; angles 90.00, 90.00, 90.00 degrees
Space group P4/mmm (No. 123)
Asymmetric unit:
Sb1 0.000 0.000 0.233
P1 0.500 0.500 0.500
Rh1 0.500 0.500 0.000

Results
Total energy: -5.109 eV/atom
Crystal system: tetragonal

***

VASP calculation (PBE-GGA) on crystalline Pr6HgIr2 at its relaxed geometry.

Cell lengths 10.514, 5.201, 9.457 Å; angles 90.00, 100.93, 90.00 degrees
Space group C2/m (No. 12)
Asymmetric unit:
Pr1 0.037 0.000 0.346
Pr2 0.159 0.500 0.892
Pr3 0.211 0.500 0.335
Hg1 0.000 0.000 0.000
Ir1 0.120 0.500 0.599

Results
Energy of formation from the pure elements: -3.5 eV per formula unit
Total energy: -5.580 eV/atom
Crystal system: monoclinic

***

VASP calculation (PBE-GGA) on crystalline MnMo2Os at its relaxed geometry.

Cell lengths 3.135, 3.135, 5.998 Å; angles 90.00, 90.00, 90.00 degrees
Space group P4mm (No. 99)
Asymmetric unit:
Mn1 0.000 0.000 0.000
Mo1 0.000 0.000 0.496
Mo2 0.500 0.500 0.227
Os1 0.500 0.500 0.750

Results
Energy of formation from the pure elements: 0.5 eV per formula unit
Total energy: -10.394 eV/atom
Excess energy over the best structure of this formula in the dataset: 31 meV per atom
Crystal system: tetragonal

***

VASP calculation (PBE-GGA) on crystalline Ga2HgPb2 at its relaxed geometry.

Cell lengths 3.905, 3.905, 17.491 Å; angles 90.00, 90.00, 90.00 degrees
Space group I4/mmm (No. 139)
Asymmetric unit:
Ga1 0.000 0.500 0.250
Hg1 0.000 0.000 0.000
Pb1 0.000 0.000 0.387

Results
Energy of formation from the pure elements: 0.2 eV per formula unit
Total energy: -2.708 eV/atom
Excess energy over the best structure of this formula in the dataset: 0 meV per atom
Crystal system: tetragonal

***

- Number 2 is which compound?
  LiAc2Al4Au3

***

What did the first record say?
VASP calculation (PBE-GGA) on crystalline Tl6GaPd12 at its relaxed geometry.

Cell lengths 11.9250, 11.9250, 8.7482 Å; angles 90.00, 90.00, 120.00 degrees
Space group R-3 (No. 148, hexagonal axes)
Asymmetric unit:
Tl1 0.0507 0.2147 0.2337
Ga1 0.0000 0.0000 0.5000
Pd1 0.0527 0.2279 0.5830
Pd2 0.0580 0.2420 0.9199

Results
Energy of formation from the pure elements: -3.4 eV per formula unit
Total energy: -4.365 eV/atom
Crystal system: trigonal

***

What did the third record say?
VASP calculation (PBE-GGA) on crystalline LiCe2Zn2Pd5 at its relaxed geometry.

Cell lengths 9.837, 9.837, 3.790 Å; angles 90.00, 90.00, 90.00 degrees
Space group P4/mbm (No. 127)
Asymmetric unit:
Li1 0.000 0.000 0.000
Ce1 0.179 0.321 0.000
Zn1 0.119 0.619 0.000
Pd1 0.000 0.500 0.500
Pd2 0.066 0.796 0.500

Results
Energy of formation from the pure elements: -5.2 eV per formula unit
Total energy: -4.746 eV/atom
Crystal system: tetragonal